1.
VASP calculation (PBE) on a relaxed structure of PrIn3Au.

Size of the total moment ... 0.000 μB/atom
V ... 256.4 Å³ per cell
Energy of formation ... -0.423 eV/atom

Lattice parameters (Å, degrees): 4.5572 4.5572 12.3474 90.00 90.00 90.00
Last column: nearest neighbours and their distance in Å.
Space group I4mm (No. 107)
Symmetry-distinct sites (fractional):
Pr: 0.0000 0.0000 0.0000 (multiplicity 2)  4 Au 3.48, 8 In 3.48-3.73
In: 0.0000 0.0000 0.3931 (multiplicity 2)  1 Au 2.64
In: 0.0000 0.5000 0.2388 (multiplicity 4)  2 Au 2.80, 2 In 2.97
Au: 0.0000 0.0000 0.6069 (multiplicity 2)  5 In 2.64-2.80

=====

2.
VASP calculation (PBE) on a relaxed structure of AgAsRh.

Size of the total moment ... 0.000 μB/atom
V ... 50.6 Å³ per cell
Energy of formation ... -0.074 eV/atom

Lattice parameters (Å, degrees): 4.1978 4.1978 3.3189 90.00 90.00 120.00
Last column: nearest neighbours and their distance in Å.
Space group P-6m2 (No. 187)
Symmetry-distinct sites (fractional):
Ag: 0.0000 0.0000 0.0000 (multiplicity 1)  6 As 2.94, 6 Rh 2.94
As: 0.6667 0.3333 0.5000 (multiplicity 1)  3 Rh 2.42
Rh: 0.3333 0.6667 0.5000 (multiplicity 1)  3 As 2.42

=====

3.
VASP calculation (PBE) on a relaxed structure of K3In.

Size of the total moment ... 0.106 μB/atom
V ... 339.3 Å³ per cell
Energy of formation ... 0.177 eV/atom

Lattice parameters (Å, degrees): 6.9746 6.9746 6.9746 90.00 90.00 90.00
Last column: nearest neighbours and their distance in Å.
Space group Pm-3m (No. 221)
Symmetry-distinct sites (fractional):
K: 0.0000 0.0000 0.5000 (multiplicity 3)  2 In 3.49
In: 0.0000 0.0000 0.0000 (multiplicity 1)  6 K 3.49

=====

4.
VASP calculation (PBE) on a relaxed structure of Na3Er2SbO6.

Size of the total moment ... 0.000 μB/atom
V ... 337.9 Å³ per cell
Formation energy without anion corrections ... -2.33 eV/atom

Lattice parameters (Å, degrees): 5.9109 10.2336 5.9253 90.00 109.47 90.00
Last column: nearest neighbours and their distance in Å.
Space group C2/m (No. 12)
Symmetry-distinct sites (fractional):
Na: 0.0000 0.0000 0.0000 (multiplicity 2)  6 O 2.49-2.56
Na: 0.0000 0.3363 0.0000 (multiplicity 4)  6 O 2.52-2.57
Er: 0.0000 0.1669 0.5000 (multiplicity 4)  6 O 2.28
Sb: 0.0000 0.5000 0.5000 (multiplicity 2)  6 O 2.35-2.36
O: 0.2281 0.0000 0.7143 (multiplicity 4)  2 Er 2.28, 1 Sb 2.36, 3 Na 2.49-2.54
O: 0.2427 0.3285 0.7130 (multiplicity 8)  2 Er 2.28, 1 Sb 2.35, 1 Na 2.52

=====

5.
VASP calculation (PBE) on a relaxed structure of Th3TeOsRu.

Size of the total moment ... 0.000 μB/atom
V ... 331.0 Å³ per cell
Formation energy without anion corrections ... -0.59 eV/atom

Lattice parameters (Å, degrees): 8.4682 4.2584 10.0958 90.00 114.61 90.00
Last column: nearest neighbours and their distance in Å.
Space group P2_1/m (No. 11)
Symmetry-distinct sites (fractional):
Th: 0.0147 0.2500 0.3580 (multiplicity 2)  3 Os 2.84-2.89
Th: 0.2425 0.2500 0.9693 (multiplicity 2)  3 Ru 2.74-2.82, 1 Os 3.04
Th: 0.4282 0.7500 0.6332 (multiplicity 2)  1 Ru 2.67, 2 Os 2.83
Te: 0.2211 0.7500 0.2237 (multiplicity 2)  8 Th 3.38-3.76
Os: 0.2246 0.2500 0.6624 (multiplicity 2)  6 Th 2.83-3.04, 2 Ru 3.02
Ru: 0.4022 0.7500 0.8877 (multiplicity 2)  4 Th 2.67-2.82

=====

6.
VASP calculation (PBE) on a relaxed structure of YZn2.

Size of the total moment ... 0.000 μB/atom
V ... 231.7 Å³ per cell
Energy of formation ... -0.335 eV/atom

Lattice parameters (Å, degrees): 5.5507 5.5507 8.6829 90.00 90.00 120.00
Last column: nearest neighbours and their distance in Å.
Space group P6_3/mmc (No. 194)
Symmetry-distinct sites (fractional):
Y: 0.3333 0.6667 0.0585 (multiplicity 4)  12 Zn 3.11-3.24, 4 Y 3.33-3.36
Zn: 0.0000 0.0000 0.0000 (multiplicity 2)  6 Zn 2.71
Zn: 0.1684 0.3367 0.7500 (multiplicity 6)  6 Zn 2.71-2.80

=====

> Number 5 is which compound?

Th3TeOsRu

=====

> Look up the size of the total moment of the fourth one.

0.000 μB/atom